# AcNd3Tl4 | the Alexandria database | PBE | optimized geometry
# - Total moment: 0.00 μB/atom
# - Energy of formation: -0.367 eV/atom
# - Density of states at the Fermi level: 13.811 states/eV/cell
# - Polymorph energy (0 for the lowest one): 0 meV/atom
# - DFT total energy: -3.852 eV/atom
data_AcNd3Tl4
_cell_length_a 11.266
_cell_length_b 7.878
_cell_length_c 5.631
_cell_angle_alpha 90.00
_cell_angle_beta 90.00
_cell_angle_gamma 90.00
_space_group_name_H-M_alt 'P m m a'
_space_group_IT_number 51
_space_group_name_Hall '-P 2a 2a'
loop_
_atom_site_label
_atom_site_fract_x
_atom_site_fract_y
_atom_site_fract_z
Ac1 0.000 0.000 0.000
Nd1 0.000 0.500 0.000
Nd2 0.250 0.000 0.499
Nd3 0.250 0.500 0.498
Tl1 0.000 0.261 0.500
Tl2 0.250 0.261 0.998

# Cs4Pt2Pb3 | the Alexandria database | PBE | optimized geometry
# - Total moment: 0.04 μB/atom
# - Energy of formation: -0.157 eV/atom
# - Density of states at the Fermi level: 11.668 states/eV/cell
# - DFT total energy: -3.114 eV/atom
data_Cs4Pt2Pb3
_cell_length_a 20.038
_cell_length_b 4.338
_cell_length_c 9.509
_cell_angle_alpha 90.00
_cell_angle_beta 109.53
_cell_angle_gamma 90.00
_space_group_name_H-M_alt 'C 1 2/m 1'
_space_group_IT_number 12
_space_group_name_Hall '-C 2y'
loop_
_atom_site_label
_atom_site_fract_x
_atom_site_fract_y
_atom_site_fract_z
Cs1 0.083 0.000 0.404
Cs2 0.221 0.500 0.172
Pt1 0.071 0.000 0.919
Pb1 0.000 0.500 0.000
Pb2 0.098 0.500 0.762

# GePb3S6 | the Alexandria database | PBE | optimized geometry
# - Total moment: 0.00 μB/atom
# - Density of states at the Fermi level: 23.015 states/eV/cell
# - DFT total energy: -4.342 eV/atom
data_GePb3S6
_cell_length_a 12.142
_cell_length_b 15.408
_cell_length_c 5.867
_cell_angle_alpha 90.00
_cell_angle_beta 90.00
_cell_angle_gamma 90.00
_space_group_name_H-M_alt 'C m c 21'
_space_group_IT_number 36
_space_group_name_Hall 'C 2c -2'
loop_
_atom_site_label
_atom_site_fract_x
_atom_site_fract_y
_atom_site_fract_z
Ge1 0.000 0.204 0.000
Pb1 0.000 0.395 0.406
Pb2 0.180 0.115 0.421
S1 0.000 0.066 0.108
S2 0.000 0.220 0.627
S3 0.151 0.267 0.149
S4 0.161 0.492 0.674

# TlReSb2 | the Alexandria database | PBE | optimized geometry
# - Total moment: 0.00 μB/atom
# - Density of states at the Fermi level: 6.325 states/eV/cell
# - Polymorph energy (0 for the lowest one): 286 meV/atom
# - DFT total energy: -5.259 eV/atom
data_TlReSb2
_cell_length_a 3.236
_cell_length_b 4.777
_cell_length_c 12.686
_cell_angle_alpha 90.00
_cell_angle_beta 90.00
_cell_angle_gamma 90.00
_space_group_name_H-M_alt 'I m m m'
_space_group_IT_number 71
_space_group_name_Hall '-I 2 2'
loop_
_atom_site_label
_atom_site_fract_x
_atom_site_fract_y
_atom_site_fract_z
Tl1 0.000 0.000 0.000
Re1 0.000 0.000 0.500
Sb1 0.000 0.500 0.178

# DyPuAu6 | the Alexandria database | PBE | optimized geometry
# - Total moment: 0.67 μB/atom
# - Energy of formation: -0.514 eV/atom
# - Density of states at the Fermi level: 29.493 states/eV/cell
# - DFT total energy: -5.339 eV/atom
data_DyPuAu6
_cell_length_a 8.486
_cell_length_b 4.882
_cell_length_c 8.562
_cell_angle_alpha 90.00
_cell_angle_beta 109.51
_cell_angle_gamma 90.00
_space_group_name_H-M_alt 'C 1 2/m 1'
_space_group_IT_number 12
_space_group_name_Hall '-C 2y'
loop_
_atom_site_label
_atom_site_fract_x
_atom_site_fract_y
_atom_site_fract_z
Dy1 0.000 0.000 0.000
Pu1 0.000 0.500 0.500
Au1 0.123 0.000 0.368
Au2 0.127 0.500 0.878
Au3 0.250 0.000 0.750

# CsNpGeO6 | the Alexandria database | PBE | optimized geometry
# - Total moment: 0.00 μB/atom
# - DFT total energy: -7.469 eV/atom
data_CsNpGeO6
_cell_length_a 6.931
_cell_length_b 7.913
_cell_length_c 10.557
_cell_angle_alpha 90.00
_cell_angle_beta 90.00
_cell_angle_gamma 90.00
_space_group_name_H-M_alt 'I m m a'
_space_group_IT_number 74
_space_group_name_Hall '-I 2b 2'
loop_
_atom_site_label
_atom_site_fract_x
_atom_site_fract_y
_atom_site_fract_z
Cs1 0.000 0.250 0.111
Np1 0.000 0.000 0.500
Ge1 0.250 0.250 0.750
O1 0.000 0.250 0.425
O2 0.000 0.250 0.810
O3 0.198 0.073 0.623